Pm2PuTe2N2, optimized geometry, DFT PBE-GGA; symmetry = No. 139; volume = 22.6 A^3/atom; formation energy without anion corrections = -1.294 eV/atom; total energy = -55.82 eV for the cell shown
1.0
4.3617 0.0000 0.0000
0.0000 4.3617 0.0000
-2.1808 -2.1808 8.3029
Te N Pm Pu
2 2 2 1
Cartesian
2.1808 2.1808 5.2460
0.0000 0.0000 3.0570
0.0000 2.1808 0.0000
2.1808 0.0000 0.0000
0.0000 0.0000 6.5237
2.1808 2.1808 1.7792
0.0000 0.0000 0.0000

---

Pm2PuThN4, optimized geometry, DFT PBE-GGA; symmetry = No. 10; volume = 16.4 A^3/atom; formation energy without anion corrections = -1.441 eV/atom; total energy = -76.09 eV for the cell shown
1.0
3.6007 0.0000 0.0000
0.0000 6.2234 0.0946
0.0000 -2.1885 5.8362
Pm N Th Pu
2 4 1 1
Cartesian
1.8004 -1.0943 2.9181
0.0000 2.0174 2.9654
0.0000 4.1304 1.4690
1.8004 3.0681 4.5526
0.0000 -0.0955 4.4618
1.8004 0.9668 1.3782
1.8004 3.1117 0.0473
0.0000 0.0000 0.0000

---

Pm3PuTh2N6, optimized geometry, DFT PBE-GGA; symmetry = No. 12; volume = 16.7 A^3/atom; formation energy without anion corrections = -1.472 eV/atom; total energy = -111.03 eV for the cell shown
1.0
6.2621 -0.0008 -0.0007
-3.1302 5.4236 -0.0007
-1.0454 -1.8101 5.9016
N Pm Pu Th
6 3 1 2
Cartesian
-1.0321 1.7866 1.4037
0.0232 3.6139 4.4966
2.0633 -0.0011 1.4037
3.1186 1.8262 4.4966
-0.0087 -0.0150 4.4858
2.0952 3.6278 1.4144
4.1880 -0.0098 2.9501
1.0433 1.8064 2.9501
-2.1015 3.6226 2.9501
0.0000 0.0000 0.0000
-0.0008 3.6163 -0.0007
3.1327 1.8065 -0.0007

---

PmPu3Th2N6, optimized geometry, DFT PBE-GGA; symmetry = No. 12; volume = 16.1 A^3/atom; formation energy without anion corrections = -1.390 eV/atom; total energy = -129.22 eV for the cell shown
1.0
6.1979 0.0007 0.0016
-3.0968 5.3688 0.0016
-1.0340 -1.7904 5.7929
Pm Pu N Th
1 3 6 2
Cartesian
0.0000 0.0000 0.0000
4.1465 -0.0083 2.8981
1.0335 1.7896 2.8981
-2.0794 3.5874 2.8981
-1.0453 1.8122 1.5241
2.0551 3.5583 1.5293
2.0921 0.0002 1.5241
-0.0250 3.5789 4.2721
3.1124 1.7669 4.2721
0.0120 0.0208 4.2668
-0.0012 3.5810 0.0016
3.1023 1.7886 0.0016

---

PmPuTh2N4, optimized geometry, DFT PBE-GGA; symmetry = No. 10; volume = 16.7 A^3/atom; formation energy without anion corrections = -1.459 eV/atom; total energy = -78.89 eV for the cell shown
1.0
3.6325 0.0000 0.0000
0.0000 6.2802 0.0999
0.0000 -2.2033 5.8374
Th N Pm Pu
2 4 1 1
Cartesian
1.8162 -1.1016 2.9187
0.0000 2.0384 2.9687
0.0000 4.1744 1.5781
1.8162 3.0907 4.4574
0.0000 -0.0976 4.3592
1.8162 0.9862 1.4800
1.8162 3.1401 0.0500
0.0000 0.0000 0.0000

---

Pm2PuTlN, optimized geometry, DFT PBE-GGA; symmetry = No. 123; volume = 24.1 A^3/atom; formation energy without anion corrections = -0.716 eV/atom; total energy = -38.10 eV for the cell shown
1.0
4.7070 0.0000 0.0000
0.0000 5.0633 0.0000
0.0000 0.0000 5.0633
Pu N Pm Tl
1 1 2 1
Cartesian
2.3535 0.0000 0.0000
0.0000 0.0000 0.0000
0.0000 2.5317 0.0000
0.0000 0.0000 2.5317
2.3535 2.5317 2.5317

---

Pm2TmPuN4, optimized geometry, DFT PBE-GGA; symmetry = No. 10; volume = 15.4 A^3/atom; formation energy without anion corrections = -1.476 eV/atom; total energy = -73.41 eV for the cell shown
1.0
3.5244 0.0000 0.0000
0.0000 6.0627 0.1127
0.0000 -2.1134 5.7187
Pu N Tm Pm
1 4 1 2
Cartesian
0.0000 0.0000 0.0000
1.7622 0.9728 1.3356
1.7622 2.9764 4.4959
0.0000 -0.0976 4.4226
0.0000 4.0469 1.4088
1.7622 3.0314 0.0564
0.0000 1.9746 2.9157
1.7622 -1.0567 2.8593

---

PmTm2PuN4, optimized geometry, DFT PBE-GGA; symmetry = No. 10; volume = 14.8 A^3/atom; formation energy without anion corrections = -1.550 eV/atom; total energy = -73.73 eV for the cell shown
1.0
3.4783 0.0000 0.0000
0.0000 6.0051 0.1110
0.0000 -2.0961 5.6314
N Pm Tm Pu
4 1 2 1
Cartesian
0.0000 4.0351 1.5376
0.0000 -0.1261 4.2048
1.7392 0.9274 1.4562
1.7392 2.9816 4.2861
1.7392 3.0025 0.0555
0.0000 1.9545 2.8712
1.7392 -1.0480 2.8157
0.0000 0.0000 0.0000

---

PmTmPu2N4, optimized geometry, DFT PBE-GGA; symmetry = No. 10; volume = 15.0 A^3/atom; formation energy without anion corrections = -1.429 eV/atom; total energy = -82.62 eV for the cell shown
1.0
-0.7489 2.2675 2.5556
2.4075 -3.8005 4.0776
4.2611 3.7160 -2.0484
Pm N Pu Tm
1 4 2 1
Cartesian
0.0000 0.0000 0.0000
4.5249 1.0732 2.7673
2.8867 -1.8647 2.5005
3.7819 1.7802 -0.4712
1.3947 1.1097 1.8175
1.7561 2.9917 0.2536
3.3343 -0.0423 1.0146
0.8293 -0.7665 3.3166

---

Pm2Pu3UN6, optimized geometry, DFT PBE-GGA; symmetry = No. 12; volume = 15.4 A^3/atom; formation energy without anion corrections = -1.351 eV/atom; total energy = -129.95 eV for the cell shown
1.0
6.0990 0.0024 -0.0002
-3.0459 5.2839 -0.0002
-1.0183 -1.7631 5.7251
N Pm Pu U
6 2 3 1
Cartesian
2.1125 3.6578 1.4411
1.8724 0.0018 1.4286
2.9689 1.9004 4.2962
0.1624 3.5213 4.2962
-0.0778 -0.1347 4.2836
-0.9341 1.6227 1.4286
0.0044 3.5222 -0.0002
3.0486 1.7641 -0.0002
1.0174 1.7616 2.8624
4.0494 0.0105 2.8624
-2.0147 3.5127 2.8624
0.0000 0.0000 0.0000

---

Pm4PuU3N8, optimized geometry, DFT PBE-GGA; symmetry = No. 166; volume = 15.4 A^3/atom; formation energy without anion corrections = -1.416 eV/atom; total energy = -156.45 eV for the cell shown
1.0
7.0228 0.0000 0.0000
0.0000 7.0560 0.0179
-3.5114 -3.5073 4.9688
N Pm U Pu
8 4 3 1
Cartesian
1.6863 1.6470 4.8359
0.0000 0.1807 2.6092
0.0000 3.3313 2.4498
3.5114 3.3680 2.3775
-1.6863 1.6470 4.8359
5.1977 1.9016 0.1508
1.8251 1.9016 0.1508
3.5114 0.2173 2.5369
0.0000 0.0000 0.0000
-1.7557 -1.7537 2.4844
1.7557 -1.7537 2.4844
3.5114 0.0000 0.0000
-1.7557 1.7743 2.4934
1.7557 1.7743 2.4934
3.5114 3.5280 0.0090
0.0000 3.5280 0.0090

---

PmPuVN3, optimized geometry, DFT PBE-GGA; symmetry = No. 11; volume = 15.6 A^3/atom; formation energy without anion corrections = -1.098 eV/atom; total energy = -119.54 eV for the cell shown
1.0
-1.0182 -1.9964 2.6253
5.3013 2.7482 4.1460
-5.2591 5.0606 1.8085
V N Pm Pu
2 6 2 2
Cartesian
1.8914 3.0415 6.4503
-2.8674 2.7709 2.1295
1.5480 4.3073 5.0105
-4.0952 4.0875 2.6545
0.7273 0.2801 3.8989
-1.7033 5.5323 4.6809
-2.5240 1.5050 3.5693
3.1193 1.7249 5.9253
-0.6876 5.0036 6.9420
-0.2884 0.8088 1.6378
2.1911 2.1083 3.5876
-3.1671 3.7041 4.9921

---

Pm2PuVN5, optimized geometry, DFT PBE-GGA; symmetry = No. 36; volume = 13.8 A^3/atom; formation energy without anion corrections = -1.217 eV/atom; total energy = -171.06 eV for the cell shown
1.0
3.4503 0.0000 0.0000
-1.7251 6.9445 0.0000
0.0000 0.0000 10.3691
N Pu V Pm
10 2 2 4
Cartesian
0.0000 0.5625 0.3515
1.7251 6.3820 5.5360
1.7251 1.7234 5.2726
0.0000 6.8444 8.2355
0.0000 5.2210 0.0880
0.0000 4.3124 3.8960
0.0000 3.9643 6.7202
1.7251 0.1001 3.0509
1.7251 2.6321 9.0805
1.7251 2.9801 1.5357
1.7251 4.0738 5.2620
0.0000 2.8706 0.0774
0.0000 6.8596 4.8217
1.7251 0.0849 10.0063
1.7251 5.0052 8.2632
1.7251 5.4154 2.0132
0.0000 1.5291 7.1977
0.0000 1.9393 3.0786

---

PmYPuN3, optimized geometry, DFT PBE-GGA; symmetry = No. 11; volume = 19.5 A^3/atom; formation energy without anion corrections = -0.807 eV/atom; total energy = -110.73 eV for the cell shown
1.0
-2.1938 -0.0176 -2.7471
-4.9228 -2.8705 3.9496
-1.5832 9.6552 1.2025
N Y Pm Pu
6 2 2 2
Cartesian
-5.3967 5.6338 3.1489
-3.3732 5.5265 -0.7159
-3.3030 1.1334 -0.7438
-5.3265 1.2406 3.1209
-2.2014 0.9753 -1.6226
-6.4983 5.7919 4.0276
-6.1166 3.4231 3.7379
-2.5831 3.3440 -1.3329
-3.6204 5.2884 1.7325
-5.0794 1.4787 0.6725
-1.6996 -0.3893 0.2350
-7.0001 7.1565 2.1700

---

PmY2PuN4, optimized geometry, DFT PBE-GGA; symmetry = No. 10; volume = 15.3 A^3/atom; formation energy without anion corrections = -1.500 eV/atom; total energy = -77.32 eV for the cell shown
1.0
-1.9257 -1.8726 2.2702
-0.0990 -4.6418 -3.9128
4.8211 -0.5413 3.6431
Pu Y N Pm
1 2 4 1
Cartesian
0.0000 0.0000 0.0000
1.4477 -1.2069 2.9566
2.3610 -2.5915 -0.1348
0.2014 -2.1830 1.0944
1.1369 -3.6668 -2.0602
2.5949 -4.8727 0.9061
3.5851 -1.5163 1.7905
-1.0124 -3.2572 -0.8213

---

PmPuZnN3, optimized geometry, DFT PBE-GGA; symmetry = No. 11; volume = 15.0 A^3/atom; formation energy without anion corrections = -0.796 eV/atom; total energy = -100.21 eV for the cell shown
1.0
-1.8464 0.1605 2.9105
0.4541 -7.1831 0.6843
6.0105 1.8628 3.7104
Pu Zn N Pm
2 2 6 2
Cartesian
0.8603 -4.3014 1.8057
3.7579 -0.8583 5.4995
3.1299 0.4100 2.9857
1.4883 -5.5697 4.3195
4.8037 0.6801 4.0327
-0.1855 -5.8399 3.2725
5.0089 -2.4954 4.3380
1.6137 -0.4101 4.1144
-0.3907 -2.6643 2.9672
3.0045 -4.7497 3.1908
3.7781 -4.3220 5.7033
0.8401 -0.8377 1.6019

---

PmPuZr2N4, optimized geometry, DFT PBE-GGA; symmetry = No. 10; volume = 13.8 A^3/atom; formation energy without anion corrections = -1.551 eV/atom; total energy = -81.89 eV for the cell shown
1.0
-3.1638 1.0298 0.5788
-0.0267 -2.9731 5.1444
1.9198 3.5121 4.2458
N Pu Pm Zr
4 1 1 2
Cartesian
-2.6883 1.2287 2.8242
-0.1223 2.5323 4.6786
1.4177 0.3400 7.1448
-1.1483 -0.9636 5.2904
0.3246 2.5404 7.1074
0.9466 0.2695 4.6951
-0.6220 2.2709 2.4123
1.9198 3.5121 4.2458

---

PmPu2ZrN4, optimized geometry, DFT PBE-GGA; symmetry = No. 10; volume = 14.5 A^3/atom; formation energy without anion corrections = -1.418 eV/atom; total energy = -86.61 eV for the cell shown
1.0
3.4494 0.0000 0.0000
0.0000 6.0205 0.1232
0.0000 -2.0855 5.5599
Pu Pm N Zr
2 1 4 1
Cartesian
1.7247 -1.0427 2.7800
0.0000 1.9675 2.8416
1.7247 3.0103 0.0616
1.7247 0.8771 1.3876
1.7247 3.0579 4.2956
0.0000 4.1233 1.5216
0.0000 -0.1883 4.1615
0.0000 0.0000 0.0000

---

PmPuZrN3, optimized geometry, DFT PBE-GGA; symmetry = No. 11; volume = 17.2 A^3/atom; formation energy without anion corrections = -1.016 eV/atom; total energy = -117.40 eV for the cell shown
1.0
-3.3275 -0.9560 0.2708
1.6541 -6.3421 -2.0650
0.9422 -0.8035 8.7424
Pu Zr N Pm
2 2 6 2
Cartesian
-0.5587 -6.9994 1.8243
-0.1725 -1.1022 5.1239
0.3620 -4.4356 -0.0778
-1.0932 -3.6660 7.0259
-1.5040 -2.7898 5.0705
0.9573 -4.6334 6.5396
-0.8932 -6.4627 -0.3924
0.7729 -5.3118 1.8777
-1.6884 -3.4682 0.4086
0.1621 -1.6389 7.3406
-0.3116 -6.6760 6.0021
-0.4195 -1.4256 0.9460

---

RbPmN, optimized geometry, DFT PBE-GGA; symmetry = No. 59; volume = 38.6 A^3/atom; formation energy without anion corrections = -0.624 eV/atom; total energy = -31.83 eV for the cell shown
1.0
-4.2699 0.6946 2.3490
-1.9380 0.1615 -3.5706
-1.6520 -11.4443 0.3792
Rb N Pm
2 2 2
Cartesian
-4.2316 -3.2093 0.9943
-3.6283 -7.3789 -1.8366
-4.1103 -10.7150 -1.7259
-3.7497 0.1268 0.8835
-1.6518 -0.4764 -0.2824
-6.2082 -10.1118 -0.5599

---

RbPm2Re2N6, optimized geometry, DFT PBE-GGA; symmetry = No. 2; volume = 21.2 A^3/atom; formation energy without anion corrections = -0.572 eV/atom; total energy = -91.61 eV for the cell shown
1.0
6.8557 -0.2774 0.4160
3.1567 5.3629 -0.0051
0.5133 -3.2254 6.3347
N Pm Re Rb
6 2 2 1
Cartesian
1.7406 1.2163 1.2500
6.4524 -0.8061 2.8313
8.7851 0.6438 5.4956
4.7633 0.0488 5.4765
5.7624 1.8113 1.2691
4.0733 2.6662 3.9143
6.9433 -0.8084 5.2112
3.5824 2.6685 1.5344
6.9092 0.4021 1.5389
3.6165 1.4580 5.2067
3.6845 -1.7514 3.3754

---

Rb2PmRe2N6, optimized geometry, DFT PBE-GGA; symmetry = No. 12; volume = 21.1 A^3/atom; formation energy without anion corrections = -0.321 eV/atom; total energy = -85.06 eV for the cell shown
1.0
-1.4458 -1.2130 6.1519
-3.9638 -2.0189 -4.6951
6.5221 -3.7212 0.7991
N Re Pm Rb
6 2 1 2
Cartesian
4.4352 -3.0299 2.0147
-2.5513 -3.2760 -3.0412
-0.2703 -2.4197 -0.5407
1.3828 -4.5334 2.7966
-3.3227 -3.9232 0.2412
3.6637 -3.6772 5.2971
0.3046 -5.8638 2.2809
0.8078 -1.0894 -0.0249
2.5381 -2.4671 3.4755
-1.5868 -2.4269 2.5140
2.6992 -4.5263 -0.2581